DFT (PBE-GGA) results for crystalline TmB2W at its relaxed geometry.

Output
- DFT formation energy: -14 kJ/mol of atoms
- VASP energy: -31.36 eV for the cell shown
- Volume: 54.6 Å³/f.u.
- Spin magnetization: 0.0000 μB/atom

The structure in extended XYZ format:
```
4
Lattice="1.6708 0.9647 5.6466 -1.6708 0.9647 5.6466 0.0000 -1.9293 5.6466" Properties=species:S:1:pos:R:3 pbc="T T T"
Tm 0.0000 0.0000 0.0000
B 0.0000 0.0000 3.9962
B 0.0000 0.0000 12.9435
W 0.0000 0.0000 8.4698
```